The following is a DFT calculation (PBE) of a relaxed LiZrGa2O6 crystal.

Results
Total DFT energy (no corrections)   -6.728 eV/atom
N(E_F)   1.12 states/eV per cell

Lattice parameters (Å, degrees): 6.8360 6.8360 5.4922 98.93 98.93 90.05
With the nearest neighbours (Å) after each atom.
Sites, in units of the cell vectors:
1 Li 0.2137 0.7863 0.7500  4 O 2.16-2.21
2 Li 0.7863 0.2137 0.2500  4 O 2.16-2.21
3 Zr 0.3960 0.6040 0.2500  6 O 2.02-2.26
4 Zr 0.6040 0.3960 0.7500  6 O 2.02-2.26
5 Ga 0.0949 0.2730 0.7797  4 O 1.82-1.92
6 Ga 0.2730 0.0949 0.2797  4 O 1.82-1.92
7 Ga 0.7270 0.9051 0.7203  4 O 1.82-1.92
8 Ga 0.9051 0.7270 0.2203  4 O 1.82-1.92
9 O 0.0486 0.1734 0.0740  2 Ga 1.89-1.92
10 O 0.1297 0.6238 0.3670  1 Ga 1.82, 1 Zr 2.02
11 O 0.1734 0.0486 0.5740  2 Ga 1.89-1.92
12 O 0.3093 0.4489 0.8837  1 Ga 1.86
13 O 0.3762 0.8703 0.1330  1 Ga 1.82, 1 Zr 2.02
14 O 0.4489 0.3093 0.3837  1 Ga 1.86
15 O 0.5511 0.6907 0.6163  1 Ga 1.86
16 O 0.6238 0.1297 0.8670  1 Ga 1.82, 1 Zr 2.02
17 O 0.6907 0.5511 0.1163  1 Ga 1.86
18 O 0.8266 0.9514 0.4260  2 Ga 1.89-1.92
19 O 0.8703 0.3762 0.6330  1 Ga 1.82, 1 Zr 2.02
20 O 0.9514 0.8266 0.9260  2 Ga 1.89-1.92

The following is a DFT calculation (PBE) of a relaxed Li2Ga6Os crystal.

Results
N(E_F)   9.35 states/eV per cell
E_form   0.137 eV per atom

Lattice parameters (Å, degrees): 5.5471 5.5471 12.9596 90.00 90.00 90.00
With the nearest neighbours (Å) after each atom.
Sites, in units of the cell vectors:
1 Li 0.0000 0.0000 0.2429  4 Ga 2.60-2.67
2 Li 0.0000 0.0000 0.7571  4 Ga 2.60-2.67
3 Li 0.5000 0.5000 0.2571  4 Ga 2.60-2.67
4 Li 0.5000 0.5000 0.7429  4 Ga 2.60-2.67
5 Ga 0.1870 0.1870 0.5000  1 Os 2.46
6 Ga 0.2457 0.7543 0.3859  1 Os 2.48, 2 Li 2.60-2.67
7 Ga 0.2457 0.7543 0.6141  1 Os 2.48, 2 Li 2.60-2.67
8 Ga 0.2543 0.2543 0.1141  1 Os 2.48, 2 Li 2.60-2.67
9 Ga 0.2543 0.2543 0.8859  1 Os 2.48, 2 Li 2.60-2.67
10 Ga 0.3130 0.6870 0.0000  1 Os 2.46
11 Ga 0.6870 0.3130 0.0000  1 Os 2.46
12 Ga 0.7457 0.7457 0.1141  1 Os 2.48, 2 Li 2.60-2.67
13 Ga 0.7457 0.7457 0.8859  1 Os 2.48, 2 Li 2.60-2.67
14 Ga 0.7543 0.2457 0.3859  1 Os 2.48, 2 Li 2.60-2.67
15 Ga 0.7543 0.2457 0.6141  1 Os 2.48, 2 Li 2.60-2.67
16 Ga 0.8130 0.8130 0.5000  1 Os 2.46
17 Os 0.0000 0.0000 0.0000  6 Ga 2.46-2.48
18 Os 0.5000 0.5000 0.5000  6 Ga 2.46-2.48

The following is a DFT calculation (PBE) of a relaxed Li2GaOs crystal.

Results
N(E_F)   5.52 states/eV per cell
E_form   0.392 eV per atom

Lattice parameters (Å, degrees): 5.4302 5.4302 5.4302 101.80 101.80 126.22
With the nearest neighbours (Å) after each atom.
Sites, in units of the cell vectors:
1 Li 0.1171 0.1250 0.4921  2 Li 2.46, 2 Ga 2.46, 2 Os 2.54
2 Li 0.3750 0.8829 0.0079  2 Li 2.46, 2 Ga 2.46, 2 Os 2.54
3 Li 0.6329 0.6250 0.5079  2 Li 2.46, 2 Ga 2.46, 2 Os 2.54
4 Li 0.8750 0.3671 0.9921  2 Li 2.46, 2 Ga 2.46, 2 Os 2.54
5 Ga 0.0000 0.0000 0.0000  2 Os 2.46, 4 Li 2.46
6 Ga 0.7500 0.2500 0.5000  2 Os 2.46, 4 Li 2.46
7 Os 0.2500 0.7500 0.5000  2 Ga 2.46, 4 Li 2.54
8 Os 0.5000 0.5000 0.0000  2 Ga 2.46, 4 Li 2.54

Repeat the third record exactly.
The following is a DFT calculation (PBE) of a relaxed Li2GaOs crystal.

Results
N(E_F)   5.52 states/eV per cell
E_form   0.392 eV per atom

Lattice parameters (Å, degrees): 5.4302 5.4302 5.4302 101.80 101.80 126.22
With the nearest neighbours (Å) after each atom.
Sites, in units of the cell vectors:
1 Li 0.1171 0.1250 0.4921  2 Li 2.46, 2 Ga 2.46, 2 Os 2.54
2 Li 0.3750 0.8829 0.0079  2 Li 2.46, 2 Ga 2.46, 2 Os 2.54
3 Li 0.6329 0.6250 0.5079  2 Li 2.46, 2 Ga 2.46, 2 Os 2.54
4 Li 0.8750 0.3671 0.9921  2 Li 2.46, 2 Ga 2.46, 2 Os 2.54
5 Ga 0.0000 0.0000 0.0000  2 Os 2.46, 4 Li 2.46
6 Ga 0.7500 0.2500 0.5000  2 Os 2.46, 4 Li 2.46
7 Os 0.2500 0.7500 0.5000  2 Ga 2.46, 4 Li 2.54
8 Os 0.5000 0.5000 0.0000  2 Ga 2.46, 4 Li 2.54

Look up the N(E_F) of the third one.
5.52 states/eV per cell

Among the records above, which one has the highest N(E_F)?
Li2Ga6Os

Number 1 is which compound?
LiZrGa2O6